Below is a relaxed structure of VCu6, with properties calculated at the PBE level.

Cell and atoms, written as POSCAR:
```
VCu6
1.0
-2.8717 1.7268 -4.3753
-3.4446 -2.1504 3.7259
2.6906 4.2615 2.2298
V Cu
1 6
Direct
0.0000 0.0000 0.0000 V
0.2500 0.5000 0.7500 Cu
0.7500 0.5000 0.2500 Cu
0.2500 0.7500 0.5000 Cu
0.5000 0.7500 0.2500 Cu
0.5000 0.2500 0.7500 Cu
0.7500 0.2500 0.5000 Cu
```

Output
The calculation puts the energy of formation from the pure elements at 1048 meV/atom. The spin magnetization comes out at 3.8 μB per formula unit. Its total energy is -26.362 eV for the cell shown.